{
  "formula": "NiAgIrF6",
  "functional": "PBE with a Hubbard U",
  "state": "optimized geometry",
  "spacegroup": "P-31c, No. 163",
  "energy_ev_per_atom": -4.35,
  "n_ef_per_ev_fu": 0.00,
  "rho_g_cm3": 5.9,
  "lattice": [[5.416, 0.000, 0.000], [-2.708, 4.690, 0.000], [0.000, 0.000, 10.439]],
  "species": ["Ni", "Ni", "Ag", "Ag", "Ir", "Ir", "F", "F", "F", "F", "F", "F", "F", "F", "F", "F", "F", "F"],
  "frac_coords": [[0.333, 0.667, 0.250], [0.667, 0.333, 0.750], [0.000, 0.000, 0.000], [0.000, 0.000, 0.500], [0.333, 0.667, 0.750], [0.667, 0.333, 0.250], [0.000, 0.357, 0.148], [0.000, 0.358, 0.648], [0.000, 0.642, 0.352], [0.000, 0.643, 0.852], [0.357, 0.000, 0.648], [0.357, 0.358, 0.852], [0.358, 0.000, 0.148], [0.358, 0.357, 0.352], [0.642, 0.000, 0.852], [0.642, 0.643, 0.648], [0.643, 0.000, 0.352], [0.643, 0.642, 0.148]]
}